Compound: BAsI2
Source: Alexandria via LeMat-Bulk
Functional: PBE
Structure: optimized geometry

Properties
- Total energy: -19.2 eV/cell
- Total magnetic moment: 0.000 μB per formula unit
- Relative energy among the computed polymorphs: 0.00 eV/f.u.
- Formation energy without anion corrections: 1.21 eV per atom
- Fermi-level density of states: 8.32 states/eV/cell

a = 7.2284 Å, b = 7.2284 Å, c = 6.5326 Å
α = 56.41°, β = 56.41°, γ = 90.00°
Closest atoms and distances in Å follow each position.
Positions (direct):
B 0.5000 0.5000 0.0000  4 I 2.50
B 0.2500 0.7500 0.5000  4 I 2.50
I 0.5686 0.1250 0.2500  2 B 2.50
I 0.8750 0.8186 0.7500  2 B 2.50
I 0.1814 0.6250 0.2500  2 B 2.50
I 0.3750 0.4314 0.7500  2 B 2.50
As 0.0000 0.0000 0.0000  4 I 3.03
As 0.7500 0.2500 0.5000  4 I 3.03



Compound: B2AsI
Source: Alexandria via LeMat-Bulk
Functional: PBE
Structure: optimized geometry

Properties
- Total energy: -30.8 eV/cell
- Total magnetic moment: 0.000 μB per formula unit
- Relative energy among the computed polymorphs: 0.00 eV/f.u.
- Formation energy without anion corrections: 1.04 eV per atom
- Fermi-level density of states: 3.75 states/eV/cell

a = 5.7202 Å, b = 5.7202 Å, c = 5.8537 Å
α = 60.75°, β = 60.75°, γ = 90.00°
Closest atoms and distances in Å follow each position.
Positions (direct):
B 0.5564 0.1250 0.2500  2 As 2.06
B 0.8750 0.8064 0.7500  2 As 2.06
B 0.1936 0.6250 0.2500  2 As 2.06
B 0.3750 0.4436 0.7500  2 As 2.06
I 0.7500 0.2500 0.5000  4 B 2.55
I 0.0000 0.0000 0.0000  4 B 2.55
As 0.2500 0.7500 0.5000  4 B 2.06
As 0.5000 0.5000 0.0000  4 B 2.06



Compound: B2AsI
Source: Alexandria via LeMat-Bulk
Functional: PBE
Structure: optimized geometry

Properties
- Total energy: -11.6 eV/cell
- Total magnetic moment: 0.000 μB per formula unit
- Relative energy among the computed polymorphs: 3.79 eV/f.u.
- Formation energy without anion corrections: 1.98 eV per atom
- Fermi-level density of states: 1.77 states/eV/cell

a = 4.4438 Å, b = 4.4438 Å, c = 4.4438 Å
α = 60.00°, β = 60.00°, γ = 60.00°
Closest atoms and distances in Å follow each position.
Positions (direct):
As 0.0000 0.0000 0.0000  8 B 2.72
I 0.5000 0.5000 0.5000  8 B 2.72
B 0.2500 0.2500 0.2500  4 As 2.72, 4 I 2.72
B 0.7500 0.7500 0.7500  4 As 2.72, 4 I 2.72



Compound: BAs2I
Source: Alexandria via LeMat-Bulk
Functional: PBE
Structure: optimized geometry

Properties
- Total energy: -11.5 eV/cell
- Total magnetic moment: 0.000 μB per formula unit
- Relative energy among the computed polymorphs: 3.87 eV/f.u.
- Formation energy without anion corrections: 1.51 eV per atom
- Fermi-level density of states: 2.29 states/eV/cell

a = 4.8351 Å, b = 4.8351 Å, c = 4.8351 Å
α = 60.00°, β = 60.00°, γ = 60.00°
Closest atoms and distances in Å follow each position.
Positions (direct):
I 0.5000 0.5000 0.5000  8 As 2.96
As 0.7500 0.7500 0.7500  4 B 2.96, 4 I 2.96
As 0.2500 0.2500 0.2500  4 I 2.96, 4 B 2.96
B 0.0000 0.0000 0.0000  8 As 2.96



Compound: BAs2I
Source: Alexandria via LeMat-Bulk
Functional: PBE
Structure: optimized geometry

Properties
- Total energy: -30.7 eV/cell
- Total magnetic moment: 0.000 μB per formula unit
- Relative energy among the computed polymorphs: 0.00 eV/f.u.
- Formation energy without anion corrections: 0.55 eV per atom
- Fermi-level density of states: 2.26 states/eV/cell

a = 6.3507 Å, b = 6.3507 Å, c = 6.2895 Å
α = 59.68°, β = 59.68°, γ = 90.00°
Closest atoms and distances in Å follow each position.
Positions (direct):
I 0.7500 0.2500 0.5000  4 As 3.01
I 0.0000 0.0000 0.0000  4 As 3.01
B 0.5000 0.5000 0.0000  4 As 2.12
B 0.2500 0.7500 0.5000  4 As 2.12
As 0.8750 0.7622 0.7500  2 B 2.12
As 0.2378 0.6250 0.2500  2 B 2.12
As 0.3750 0.4878 0.7500  2 B 2.12
As 0.5122 0.1250 0.2500  2 B 2.12



Compound: MgBAs2I
Source: Alexandria via LeMat-Bulk
Functional: PBE
Structure: optimized geometry

Properties
- Total energy: -13.2 eV/cell
- Total magnetic moment: 0.000 μB per formula unit
- Formation energy without anion corrections: 1.19 eV per atom
- Fermi-level density of states: 4.13 states/eV/cell

a = 5.1815 Å, b = 4.4781 Å, c = 5.1815 Å
α = 90.00°, β = 90.00°, γ = 90.00°
Closest atoms and distances in Å follow each position.
Positions (direct):
As 0.0000 0.0000 0.5000  2 Mg 2.59
As 0.5000 0.0000 0.0000  2 Mg 2.59
I 0.5000 0.5000 0.5000  8 As 3.42, 4 B 3.66
B 0.0000 0.5000 0.0000  2 Mg 2.24
Mg 0.0000 0.0000 0.0000  2 B 2.24



Compound: BAsIN2
Source: Alexandria via LeMat-Bulk
Functional: PBE
Structure: optimized geometry

Properties
- Total energy: -19.5 eV/cell
- Total magnetic moment: 1.293 μB per formula unit
- Relative energy among the computed polymorphs: 0.73 eV/f.u.
- Formation energy without anion corrections: 2.01 eV per atom
- Fermi-level density of states: 3.37 states/eV/cell

a = 3.7812 Å, b = 3.7812 Å, c = 4.7593 Å
α = 90.00°, β = 90.00°, γ = 90.00°
Closest atoms and distances in Å follow each position.
Positions (direct):
I 0.0000 0.0000 0.5000  2 B 2.38
N 0.5000 0.0000 0.0000  2 B 1.89
N 0.0000 0.5000 0.0000  2 B 1.89
As 0.5000 0.5000 0.5000  4 I 2.67
B 0.0000 0.0000 0.0000  4 N 1.89



Compound: BAsI2N
Source: Alexandria via LeMat-Bulk
Functional: PBE
Structure: optimized geometry

Properties
- Total energy: -21.6 eV/cell
- Total magnetic moment: 0.000 μB per formula unit
- Relative energy among the computed polymorphs: 0.00 eV/f.u.
- Formation energy without anion corrections: 0.24 eV per atom
- Fermi-level density of states: 3.69 states/eV/cell

a = 7.8584 Å, b = 7.8584 Å, c = 2.7024 Å
α = 90.00°, β = 90.00°, γ = 90.00°
Closest atoms and distances in Å follow each position.
Positions (direct):
B 0.0000 0.0000 0.0000  2 N 1.35
I 0.0000 0.5000 0.0000  2 I 2.70
I 0.5000 0.0000 0.0000  2 I 2.70
As 0.5000 0.5000 0.5000  2 As 2.70
N 0.0000 0.0000 0.5000  2 B 1.35



Compound: BAsIN2
Source: Alexandria via LeMat-Bulk
Functional: PBE
Structure: optimized geometry

Properties
- Total energy: -20.2 eV/cell
- Total magnetic moment: 0.329 μB per formula unit
- Relative energy among the computed polymorphs: 0.00 eV/f.u.
- Formation energy without anion corrections: 1.86 eV per atom
- Fermi-level density of states: 2.44 states/eV/cell

a = 3.6695 Å, b = 3.6695 Å, c = 7.6992 Å
α = 90.00°, β = 90.00°, γ = 90.00°
Closest atoms and distances in Å follow each position.
Positions (direct):
B 0.5000 0.5000 0.5000  4 I 2.59
I 0.0000 0.0000 0.5000  4 B 2.59
N 0.0000 0.5000 0.0000  2 As 1.83
N 0.5000 0.0000 0.0000  2 As 1.83
As 0.0000 0.0000 0.0000  4 N 1.83



Compound: BAsI2N
Source: Alexandria via LeMat-Bulk
Functional: PBE
Structure: optimized geometry

Properties
- Total energy: -15.3 eV/cell
- Total magnetic moment: 0.000 μB per formula unit
- Relative energy among the computed polymorphs: 6.23 eV/f.u.
- Formation energy without anion corrections: 1.49 eV per atom
- Fermi-level density of states: 3.54 states/eV/cell

a = 5.9525 Å, b = 5.9525 Å, c = 3.6683 Å
α = 90.00°, β = 90.00°, γ = 90.00°
Closest atoms and distances in Å follow each position.
Positions (direct):
N 0.0000 0.0000 0.5000  2 As 1.83
I 0.0000 0.5000 0.0000  2 As 2.98
I 0.5000 0.0000 0.0000  2 As 2.98
As 0.0000 0.0000 0.0000  2 N 1.83
B 0.5000 0.5000 0.5000  8 I 3.50, 2 B 3.67



Compound: BAsIO2
Source: Alexandria via LeMat-Bulk
Functional: PBE
Structure: optimized geometry

Properties
- Total energy: -20.5 eV/cell
- Total magnetic moment: 0.002 μB per formula unit
- Relative energy among the computed polymorphs: 0.00 eV/f.u.
- Formation energy without anion corrections: 0.46 eV per atom
- Fermi-level density of states: 1.90 states/eV/cell

a = 3.7390 Å, b = 3.7390 Å, c = 7.0686 Å
α = 90.00°, β = 90.00°, γ = 90.00°
Closest atoms and distances in Å follow each position.
Positions (direct):
I 0.0000 0.0000 0.5000  4 B 2.64
B 0.5000 0.5000 0.5000  4 I 2.64
As 0.0000 0.0000 0.0000  4 O 1.87
O 0.0000 0.5000 0.0000  2 As 1.87
O 0.5000 0.0000 0.0000  2 As 1.87



Compound: BAsI2O
Source: Alexandria via LeMat-Bulk
Functional: PBE
Structure: optimized geometry

Properties
- Total energy: -15.9 eV/cell
- Total magnetic moment: 0.000 μB per formula unit
- Relative energy among the computed polymorphs: 2.51 eV/f.u.
- Formation energy without anion corrections: 0.70 eV per atom
- Fermi-level density of states: 0.51 states/eV/cell

a = 5.7775 Å, b = 5.7775 Å, c = 3.8087 Å
α = 90.00°, β = 90.00°, γ = 90.00°
Closest atoms and distances in Å follow each position.
Positions (direct):
As 0.0000 0.0000 0.0000  2 O 1.90
O 0.0000 0.0000 0.5000  2 As 1.90
I 0.0000 0.5000 0.0000  2 As 2.89
I 0.5000 0.0000 0.0000  2 As 2.89
B 0.5000 0.5000 0.5000  8 I 3.46, 2 B 3.81



Compound: BAsI2O
Source: Alexandria via LeMat-Bulk
Functional: PBE
Structure: optimized geometry

Properties
- Total energy: -18.4 eV/cell
- Total magnetic moment: 0.322 μB per formula unit
- Relative energy among the computed polymorphs: 0.00 eV/f.u.
- Formation energy without anion corrections: 0.20 eV per atom
- Fermi-level density of states: 1.68 states/eV/cell

a = 6.6297 Å, b = 6.6297 Å, c = 2.7926 Å
α = 90.00°, β = 90.00°, γ = 90.00°
Closest atoms and distances in Å follow each position.
Positions (direct):
I 0.5000 0.0000 0.0000  2 I 2.79
I 0.0000 0.5000 0.0000  2 I 2.79
As 0.5000 0.5000 0.5000  2 As 2.79
O 0.0000 0.0000 0.5000  2 B 1.40
B 0.0000 0.0000 0.0000  2 O 1.40



Compound: BAsIO2
Source: Alexandria via LeMat-Bulk
Functional: PBE
Structure: optimized geometry

Properties
- Total energy: -19.4 eV/cell
- Total magnetic moment: 0.000 μB per formula unit
- Relative energy among the computed polymorphs: 1.07 eV/f.u.
- Formation energy without anion corrections: 0.67 eV per atom
- Fermi-level density of states: 2.18 states/eV/cell

a = 3.8139 Å, b = 3.8139 Å, c = 4.5776 Å
α = 90.00°, β = 90.00°, γ = 90.00°
Closest atoms and distances in Å follow each position.
Positions (direct):
I 0.0000 0.0000 0.5000  2 B 2.29
B 0.0000 0.0000 0.0000  4 O 1.91
O 0.0000 0.5000 0.0000  2 B 1.91
O 0.5000 0.0000 0.0000  2 B 1.91
As 0.5000 0.5000 0.5000  4 I 2.70, 8 O 2.98